Entry 1:
This record from Alexandria via LeMat-Bulk describes a geometry-optimized Rb3Mn2ZnF9 structure. The functional is GGA+U.

abc: 6.0345 6.0345 7.3910
angles: 90.00 90.00 120.00
Closest atoms and distances in Å follow each position.
Fractional positions:
Rb: 0.3333 0.6667 0.6657  12 F 3.01-3.02
Rb: 0.0000 0.0000 0.0000  12 F 3.02
Rb: 0.6667 0.3333 0.3343  12 F 3.01-3.02
Mn: 0.3333 0.6667 0.1704  6 F 2.15-2.16
Mn: 0.6667 0.3333 0.8296  6 F 2.15-2.16
Zn: 0.0000 0.0000 0.5000  6 F 2.09
F: 0.8363 0.1637 0.6626  1 Zn 2.09, 1 Mn 2.16
F: 0.8363 0.6726 0.6626  1 Zn 2.09, 1 Mn 2.16
F: 0.3274 0.1637 0.6626  1 Zn 2.09, 1 Mn 2.16
F: 0.6726 0.8363 0.3374  1 Zn 2.09, 1 Mn 2.16
F: 0.1637 0.3274 0.3374  1 Zn 2.09, 1 Mn 2.16
F: 0.1637 0.8363 0.3374  1 Zn 2.09, 1 Mn 2.16
F: 0.5000 0.0000 0.0000  2 Mn 2.15
F: 0.0000 0.5000 0.0000  2 Mn 2.15
F: 0.5000 0.5000 0.0000  2 Mn 2.15

## Properties
The total energy comes out at -5.091 eV per atom. The density of states at the Fermi level is 0.000 states/eV per atom. Its crystal system is trigonal.

Entry 2:
This record from Alexandria via LeMat-Bulk describes a geometry-optimized Mn2ReF8 structure. The functional is GGA+U.

abc: 4.1544 6.6418 6.6418
angles: 120.00 90.00 90.00
Closest atoms and distances in Å follow each position.
Fractional positions:
Re: 0.5000 0.0000 0.0000  6 F 1.99
Mn: 0.7464 0.3333 0.6667  5 F 2.07-2.12
Mn: 0.2536 0.6667 0.3333  5 F 2.07-2.12
F: 0.7556 0.6667 0.3333  2 Mn 2.07-2.09
F: 0.2444 0.3333 0.6667  2 Mn 2.07-2.09
F: 0.2571 0.2973 0.1486  1 Re 1.99, 1 Mn 2.12
F: 0.7429 0.7027 0.8514  1 Re 1.99, 1 Mn 2.12
F: 0.7429 0.1486 0.8514  1 Re 1.99, 1 Mn 2.12
F: 0.2571 0.8514 0.1486  1 Re 1.99, 1 Mn 2.12
F: 0.2571 0.8514 0.7027  1 Re 1.99, 1 Mn 2.12
F: 0.7429 0.1486 0.2973  1 Re 1.99, 1 Mn 2.12

## Properties
The total energy comes out at -6.143 eV per atom. Its crystal system is trigonal.

Entry 3:
This record from Alexandria via LeMat-Bulk describes a geometry-optimized Mn3ReF structure. The functional is GGA+U.

abc: 5.0313 5.0313 5.0313
angles: 90.00 90.00 90.00
Closest atoms and distances in Å follow each position.
Fractional positions:
Re: 0.0000 0.0000 0.0000  6 Mn 2.52
Mn: 0.0000 0.5000 0.0000  2 Re 2.52
Mn: 0.0000 0.0000 0.5000  2 Re 2.52
Mn: 0.5000 0.0000 0.0000  2 Re 2.52
F: 0.5000 0.5000 0.5000  12 Mn 3.56

## Properties
The distance to the lowest polymorph of the same formula is 720 meV/atom. The total energy comes out at -6.336 eV per atom. The density of states at the Fermi level is 0.677 states/eV per atom. Its crystal system is cubic.

Entry 4:
This record from Alexandria via LeMat-Bulk describes a geometry-optimized MnReF6 structure. The functional is GGA+U.

abc: 5.1458 5.1458 5.2600
angles: 96.22 96.22 118.32
Closest atoms and distances in Å follow each position.
Fractional positions:
Mn: 0.0000 0.0000 0.0000  6 F 2.12-2.18
Re: 0.5000 0.5000 0.5000  6 F 1.98-1.99
F: 0.5823 0.8702 0.7375  1 Re 1.99, 1 Mn 2.18
F: 0.8702 0.5823 0.7375  1 Re 1.99, 1 Mn 2.18
F: 0.1298 0.4177 0.2625  1 Re 1.99, 1 Mn 2.18
F: 0.4177 0.1298 0.2625  1 Re 1.99, 1 Mn 2.18
F: 0.2511 0.2511 0.7347  1 Re 1.98, 1 Mn 2.12
F: 0.7489 0.7489 0.2653  1 Re 1.98, 1 Mn 2.12

## Properties
The total energy comes out at -6.131 eV per atom. Its crystal system is monoclinic.

Entry 5:
This record from Alexandria via LeMat-Bulk describes a geometry-optimized MnRe3F structure. The functional is GGA+U.

abc: 4.4340 4.4340 4.4340
angles: 90.00 90.00 90.00
Closest atoms and distances in Å follow each position.
Fractional positions:
Re: 0.0000 0.5000 0.0000  2 Mn 2.22
Re: 0.0000 0.0000 0.5000  2 Mn 2.22
Re: 0.5000 0.0000 0.0000  2 Mn 2.22
Mn: 0.0000 0.0000 0.0000  6 Re 2.22
F: 0.5000 0.5000 0.5000  12 Re 3.14

## Properties
The distance to the lowest polymorph of the same formula is 990 meV/atom. The total energy comes out at -6.962 eV per atom. The density of states at the Fermi level is 1.025 states/eV per atom. Its crystal system is cubic.

Entry 6:
This record from Alexandria via LeMat-Bulk describes a geometry-optimized MnReF2 structure. The functional is GGA+U.

abc: 4.3468 4.3468 4.3468
angles: 60.00 60.00 60.00
Closest atoms and distances in Å follow each position.
Fractional positions:
Re: 0.5000 0.5000 0.5000  8 F 2.66
Mn: 0.0000 0.0000 0.0000  8 F 2.66
F: 0.2500 0.2500 0.2500  4 Re 2.66, 4 Mn 2.66
F: 0.7500 0.7500 0.7500  4 Mn 2.66, 4 Re 2.66

## Properties
The distance to the lowest polymorph of the same formula is 1012 meV/atom. The total energy comes out at -5.774 eV per atom. The density of states at the Fermi level is 0.752 states/eV per atom. Its crystal system is cubic.

- Number 6 is which compound?
  MnReF2